Here is crystalline MnGaCuOs at its relaxed geometry from Alexandria. Energies are from PBE-GGA.

CIF file:
```
data_MnGaCuOs
_symmetry_space_group_name_H-M 'P 1'
_symmetry_Int_Tables_number 1
_symmetry_space_group_name_Hall 'P 1'
_cell_length_a 4.2570
_cell_length_b 4.2570
_cell_length_c 4.2570
_cell_angle_alpha 60.00
_cell_angle_beta 60.00
_cell_angle_gamma 60.00
loop_
_atom_site_label
_atom_site_fract_x
_atom_site_fract_y
_atom_site_fract_z
Mn1 0.0000 0.0000 0.0000
Ga1 0.5000 0.5000 0.5000
Cu1 0.2500 0.2500 0.2500
Os1 0.7500 0.7500 0.7500
```

Calculated formation energy (eV per atom): 0.081